[1]
12
Lattice="-3.530 1.278 -3.723 0.044 -5.017 -1.764 -7.030 -2.145 5.929" Properties=species:S:1:pos:R:3 comment="BaHIr | Alexandria via LeMat-Bulk | GGA-PBE | optimized geometry" e_above_lowest_polymorph_mev_per_atom=55.1 sg=Amm2 pbc="T T T"
Ba -6.648 -0.851 2.256
Ba -0.223 -0.068 0.188
Ba -3.717 -3.649 2.271
Ba -3.111 -2.287 -1.590
Ir -8.607 -3.416 1.485
Ir -5.114 0.166 -0.598
Ir -6.963 -4.011 3.219
Ir -3.470 -0.429 1.136
H -5.692 -3.261 4.277
H -5.674 -5.238 3.582
H -2.155 -4.697 0.430
H -2.181 -1.656 1.499


[2]
5
Lattice="-2.167 -2.196 -4.300 -4.148 -1.565 2.890 -2.471 4.554 -1.080" Properties=species:S:1:pos:R:3 comment="Ba3HIr | Alexandria via LeMat-Bulk | GGA-PBE | optimized geometry" e_above_lowest_polymorph_mev_per_atom=0.0 sg=Pm-3m pbc="T T T"
Ir -4.393 0.396 -1.245
H 0.000 0.000 0.000
Ba -2.074 -0.783 1.445
Ba -1.084 -1.098 -2.150
Ba -1.235 2.277 -0.540


[3]
18
Lattice="7.232 0.000 0.000 0.000 7.621 -0.401 0.000 0.675 13.093" Properties=species:S:1:pos:R:3 comment="Ba6H2Ir | Alexandria via LeMat-Bulk | GGA-PBE | optimized geometry" e_above_lowest_polymorph_mev_per_atom=0.0 sg=P2_1/c pbc="T T T"
H 3.624 8.186 10.591
H 7.224 4.038 4.245
H 0.008 4.258 8.447
H 3.608 0.110 2.101
Ba 1.725 1.747 8.653
Ba 5.235 6.386 -0.332
Ba 1.891 5.220 1.906
Ba 1.901 5.669 10.641
Ba 5.517 6.775 8.397
Ba 1.619 5.383 6.277
Ba 1.715 1.521 4.295
Ba 1.997 1.910 13.024
Ba 5.613 2.912 6.415
Ba 5.341 3.076 10.786
Ba 5.507 6.549 4.039
Ba 5.331 2.627 2.051
Ir 0.000 0.337 6.546
Ir 3.616 3.811 -0.200


[4]
5
Lattice="4.538 0.000 0.000 0.000 4.538 0.000 0.000 0.000 4.538" Properties=species:S:1:pos:R:3 comment="BaH3Ir | Alexandria via LeMat-Bulk | GGA-PBE | optimized geometry" e_above_lowest_polymorph_mev_per_atom=1750.2 sg=Pm-3m pbc="T T T"
H 0.000 0.000 2.269
H 2.269 0.000 0.000
H 0.000 2.269 0.000
Ba 0.000 0.000 0.000
Ir 2.269 2.269 2.269


[5]
9
Lattice="4.582 0.000 0.000 2.291 7.494 -0.234 2.291 2.855 11.095" Properties=species:S:1:pos:R:3 comment="Ba6H2Ir | Alexandria via LeMat-Bulk | GGA-PBE | optimized geometry" e_above_lowest_polymorph_mev_per_atom=23.5 sg=C2/m pbc="T T T"
Ba 6.873 6.449 2.657
Ba 4.582 7.096 6.297
Ba 4.582 3.253 4.564
Ba 6.873 8.286 9.790
Ba 2.291 2.063 1.071
Ba 2.291 3.900 8.204
Ir 2.291 5.175 5.430
H 4.582 8.746 8.553
H 4.582 1.603 2.308


[6]
5
Lattice="3.937 0.000 0.000 0.000 3.937 0.000 1.969 1.969 7.359" Properties=species:S:1:pos:R:3 comment="Ba2H2Ir | Alexandria via LeMat-Bulk | GGA-PBE | optimized geometry" energy_ev_per_atom=-3.877 sg=I4/mmm pbc="T T T"
Ba 3.937 3.937 5.367
Ba 1.969 1.969 1.992
Ir 0.000 0.000 0.000
H 1.969 3.937 3.680
H 3.937 1.969 3.680